[1]
Computed, not measured: a geometry-optimized CaInPt structure at the PBE-GGA level of DFT.

Values from the calculation:
The calculation puts the total DFT energy (no corrections) at -4.271 eV/atom. The value obtained for the total magnetization is 0.00 Bohr magnetons per cell. For the density of states at the Fermi level, the calculation gives 1.6 states/eV per cell. The calculation puts the formation energy at -0.678 eV/atom.

```
data_CaInPt
_cell_length_a 4.6562
_cell_length_b 4.6562
_cell_length_c 3.8301
_cell_angle_alpha 90.00
_cell_angle_beta 90.00
_cell_angle_gamma 120.00
_symmetry_space_group_name_H-M 'P -6 m 2'
_symmetry_Int_Tables_number 187
_symmetry_space_group_name_Hall 'P -6 2'
loop_
_atom_site_label
_atom_site_type_symbol
_atom_site_fract_x
_atom_site_fract_y
_atom_site_fract_z
Ca1 Ca 0.0000 0.0000 0.0000
In1 In 0.6667 0.3333 0.5000
Pt1 Pt 0.3333 0.6667 0.5000
```

=====

[2]
Computed, not measured: a geometry-optimized CaInPt2 structure at the PBE-GGA level of DFT.

Values from the calculation:
The calculation puts the total DFT energy (no corrections) at -4.892 eV/atom. The value obtained for the total magnetization is 0.00 Bohr magnetons per cell. For the density of states at the Fermi level, the calculation gives 1.3 states/eV per cell. The calculation puts the formation energy at -0.687 eV/atom.

```
data_CaInPt2
_cell_length_a 3.768
_cell_length_b 4.282
_cell_length_c 5.497
_cell_angle_alpha 90.00
_cell_angle_beta 109.88
_cell_angle_gamma 90.00
_symmetry_space_group_name_H-M 'P 1 m 1'
_symmetry_Int_Tables_number 6
_symmetry_space_group_name_Hall 'P -2y'
loop_
_atom_site_label
_atom_site_type_symbol
_atom_site_fract_x
_atom_site_fract_y
_atom_site_fract_z
Ca1 Ca 0.000 0.000 0.000
In1 In 0.709 0.500 0.414
Pt1 Pt 0.273 0.000 0.545
Pt2 Pt 0.439 0.500 0.876
```

=====

[3]
Computed, not measured: a geometry-optimized Ca2In6Pt structure at the PBE-GGA level of DFT.

Values from the calculation:
The calculation puts the total DFT energy (no corrections) at -3.336 eV/atom. The value obtained for the total magnetization is 0.00 Bohr magnetons per cell. For the density of states at the Fermi level, the calculation gives 8.6 states/eV per cell. The calculation puts the formation energy at -0.394 eV/atom.

```
data_Ca2In6Pt
_cell_length_a 11.398
_cell_length_b 6.581
_cell_length_c 6.113
_cell_angle_alpha 90.00
_cell_angle_beta 90.03
_cell_angle_gamma 90.00
_symmetry_space_group_name_H-M 'C 1 2/m 1'
_symmetry_Int_Tables_number 12
_symmetry_space_group_name_Hall '-C 2y'
loop_
_atom_site_label
_atom_site_type_symbol
_atom_site_fract_x
_atom_site_fract_y
_atom_site_fract_z
Ca1 Ca 0.167 0.000 0.330
In1 In 0.087 0.237 0.808
In2 In 0.175 0.500 0.193
Pt1 Pt 0.000 0.500 0.500
```

=====

[4]
Computed, not measured: a geometry-optimized CaInPt2 structure at the PBE-GGA level of DFT.

Values from the calculation:
The calculation puts the total DFT energy (no corrections) at -4.736 eV/atom. The value obtained for the total magnetization is 0.00 Bohr magnetons per cell. For the density of states at the Fermi level, the calculation gives 1.5 states/eV per cell. The calculation puts the formation energy at -0.530 eV/atom.

```
data_CaInPt2
_cell_length_a 3.088
_cell_length_b 4.444
_cell_length_c 5.727
_cell_angle_alpha 90.00
_cell_angle_beta 90.00
_cell_angle_gamma 90.00
_symmetry_space_group_name_H-M 'P m m 2'
_symmetry_Int_Tables_number 25
_symmetry_space_group_name_Hall 'P 2 -2'
loop_
_atom_site_label
_atom_site_type_symbol
_atom_site_fract_x
_atom_site_fract_y
_atom_site_fract_z
Ca1 Ca 0.000 0.000 0.000
In1 In 0.500 0.500 0.335
Pt1 Pt 0.000 0.000 0.499
Pt2 Pt 0.500 0.500 0.819
```

=====

[5]
Computed, not measured: a geometry-optimized CaIn4Pt2 structure at the PBE-GGA level of DFT.

Values from the calculation:
The calculation puts the total DFT energy (no corrections) at -4.160 eV/atom. The value obtained for the total magnetization is 0.00 Bohr magnetons per cell. For the density of states at the Fermi level, the calculation gives 11.3 states/eV per cell. The calculation puts the formation energy at -0.583 eV/atom.

```
data_CaIn4Pt2
_cell_length_a 18.458
_cell_length_b 4.507
_cell_length_c 7.470
_cell_angle_alpha 90.00
_cell_angle_beta 90.00
_cell_angle_gamma 90.00
_symmetry_space_group_name_H-M 'P n m a'
_symmetry_Int_Tables_number 62
_symmetry_space_group_name_Hall '-P 2ac 2n'
loop_
_atom_site_label
_atom_site_type_symbol
_atom_site_fract_x
_atom_site_fract_y
_atom_site_fract_z
Ca1 Ca 0.144 0.250 0.045
In1 In 0.034 0.750 0.864
In2 In 0.069 0.250 0.493
In3 In 0.187 0.750 0.338
In4 In 0.189 0.750 0.750
Pt1 Pt 0.042 0.750 0.252
Pt2 Pt 0.219 0.250 0.545
```

=====

[6]
Computed, not measured: a geometry-optimized CaInPt2 structure at the PBE-GGA level of DFT.

Values from the calculation:
The calculation puts the total DFT energy (no corrections) at -4.728 eV/atom. The value obtained for the total magnetization is 0.00 Bohr magnetons per cell. For the density of states at the Fermi level, the calculation gives 1.7 states/eV per cell. The calculation puts the formation energy at -0.523 eV/atom.

```
data_CaInPt2
_cell_length_a 3.785
_cell_length_b 3.785
_cell_length_c 5.706
_cell_angle_alpha 90.00
_cell_angle_beta 90.00
_cell_angle_gamma 90.00
_symmetry_space_group_name_H-M 'P 4 m m'
_symmetry_Int_Tables_number 99
_symmetry_space_group_name_Hall 'P 4 -2'
loop_
_atom_site_label
_atom_site_type_symbol
_atom_site_fract_x
_atom_site_fract_y
_atom_site_fract_z
Ca1 Ca 0.000 0.000 0.000
In1 In 0.500 0.500 0.336
Pt1 Pt 0.000 0.000 0.502
Pt2 Pt 0.500 0.500 0.818
```

=====

[7]
Computed, not measured: a geometry-optimized CaInPt2 structure at the PBE-GGA level of DFT.

Values from the calculation:
The calculation puts the total DFT energy (no corrections) at -4.658 eV/atom. The value obtained for the total magnetization is 0.00 Bohr magnetons per cell. For the density of states at the Fermi level, the calculation gives 7.5 states/eV per cell. The calculation puts the formation energy at -0.452 eV/atom.

```
data_CaInPt2
_cell_length_a 6.780
_cell_length_b 6.780
_cell_length_c 6.780
_cell_angle_alpha 90.00
_cell_angle_beta 90.00
_cell_angle_gamma 90.00
_symmetry_space_group_name_H-M 'F -4 3 m'
_symmetry_Int_Tables_number 216
_symmetry_space_group_name_Hall 'F -4 2 3'
loop_
_atom_site_label
_atom_site_type_symbol
_atom_site_fract_x
_atom_site_fract_y
_atom_site_fract_z
Ca1 Ca 0.000 0.000 0.000
In1 In 0.250 0.250 0.250
Pt1 Pt 0.000 0.000 0.500
Pt2 Pt 0.250 0.250 0.750
```

=====

[8]
Computed, not measured: a geometry-optimized CaIn3Pt3 structure at the PBE-GGA level of DFT.

Values from the calculation:
The calculation puts the total DFT energy (no corrections) at -4.219 eV/atom. The value obtained for the total magnetization is 0.00 Bohr magnetons per cell. For the density of states at the Fermi level, the calculation gives 8.6 states/eV per cell. The calculation puts the formation energy at -0.171 eV/atom.

```
data_CaIn3Pt3
_cell_length_a 7.379
_cell_length_b 7.379
_cell_length_c 7.379
_cell_angle_alpha 90.00
_cell_angle_beta 90.00
_cell_angle_gamma 90.00
_symmetry_space_group_name_H-M 'P m -3 n'
_symmetry_Int_Tables_number 223
_symmetry_space_group_name_Hall '-P 4n 2 3'
loop_
_atom_site_label
_atom_site_type_symbol
_atom_site_fract_x
_atom_site_fract_y
_atom_site_fract_z
Ca1 Ca 0.000 0.000 0.000
In1 In 0.000 0.250 0.500
Pt1 Pt 0.000 0.500 0.250
```